(1)
The following is a PBE calculation of crystalline Nd6Si2Te3Cl at its relaxed geometry, from the Alexandria database.

POSCAR file:
```
Nd6Si2Te3Cl
1.0
9.621 -2.165 0.000
9.621 2.165 0.000
-2.157 0.000 8.600
Nd Si Te Cl
6 2 3 1
Direct
0.014 0.014 0.256 Nd
0.327 0.327 0.431 Nd
0.329 0.329 0.887 Nd
0.671 0.671 0.113 Nd
0.673 0.673 0.569 Nd
0.986 0.986 0.744 Nd
0.168 0.168 0.333 Si
0.832 0.832 0.667 Si
0.160 0.160 0.836 Te
0.500 0.500 0.500 Te
0.840 0.840 0.164 Te
0.500 0.500 0.000 Cl
```

* ΔE_f (raw): -1.260 eV per atom
* crystal system: monoclinic
* space group: C2/m, No. 12
* total magnetization: 0.00 μB per atom
* DOS(E_F): 4.4 states/eV/f.u.

***

(2)
The following is a PBE calculation of crystalline CoNi7Pt2 at its relaxed geometry, from the Alexandria database.

POSCAR file:
```
CoNi7Pt2
1.0
3.242 -6.393 0.000
3.242 6.393 0.000
0.000 0.000 3.605
Co Ni Pt
1 7 2
Direct
0.000 0.000 0.000 Co
0.088 0.278 0.500 Ni
0.183 0.817 0.000 Ni
0.278 0.088 0.500 Ni
0.500 0.500 0.500 Ni
0.722 0.912 0.500 Ni
0.817 0.183 0.000 Ni
0.912 0.722 0.500 Ni
0.304 0.696 0.500 Pt
0.696 0.304 0.500 Pt
```

* crystal system: orthorhombic
* space group: Cmmm, No. 65
* total magnetization: 0.81 μB per atom
* ΔH_f (0 K): 0.48 eV/atom
* DOS(E_F): 13.9 states/eV/f.u.

***

(3)
The following is a PBE calculation of crystalline Zn2SeCl2O3 at its relaxed geometry, from the Alexandria database.

POSCAR file:
```
Zn2SeCl2O3
1.0
10.491 0.000 0.000
0.000 15.792 0.000
0.000 0.000 7.750
Zn Se Cl O
16 8 16 24
Direct
0.001 0.113 0.152 Zn
0.001 0.387 0.652 Zn
0.227 0.021 0.399 Zn
0.227 0.479 0.899 Zn
0.273 0.021 0.899 Zn
0.273 0.479 0.399 Zn
0.499 0.113 0.652 Zn
0.499 0.387 0.152 Zn
0.501 0.613 0.848 Zn
0.501 0.887 0.348 Zn
0.727 0.521 0.601 Zn
0.727 0.979 0.101 Zn
0.773 0.521 0.101 Zn
0.773 0.979 0.601 Zn
0.999 0.613 0.348 Zn
0.999 0.887 0.848 Zn
0.040 0.089 0.722 Se
0.040 0.411 0.222 Se
0.460 0.089 0.222 Se
0.460 0.411 0.722 Se
0.540 0.589 0.278 Se
0.540 0.911 0.778 Se
0.960 0.589 0.778 Se
0.960 0.911 0.278 Se
0.089 0.201 0.338 Cl
0.089 0.299 0.838 Cl
0.207 0.623 0.428 Cl
0.207 0.877 0.928 Cl
0.293 0.623 0.928 Cl
0.293 0.877 0.428 Cl
0.411 0.201 0.838 Cl
0.411 0.299 0.338 Cl
0.589 0.701 0.662 Cl
0.589 0.799 0.162 Cl
0.707 0.123 0.572 Cl
0.707 0.377 0.072 Cl
0.793 0.123 0.072 Cl
0.793 0.377 0.572 Cl
0.911 0.701 0.162 Cl
0.911 0.799 0.662 Cl
0.051 0.005 0.289 O
0.051 0.495 0.789 O
0.095 0.083 0.933 O
0.095 0.417 0.433 O
0.185 0.050 0.648 O
0.185 0.450 0.148 O
0.315 0.050 0.148 O
0.315 0.450 0.648 O
0.405 0.083 0.433 O
0.405 0.417 0.933 O
0.449 0.005 0.789 O
0.449 0.495 0.289 O
0.551 0.505 0.711 O
0.551 0.995 0.211 O
0.595 0.583 0.067 O
0.595 0.917 0.567 O
0.685 0.550 0.352 O
0.685 0.950 0.852 O
0.815 0.550 0.852 O
0.815 0.950 0.352 O
0.905 0.583 0.567 O
0.905 0.917 0.067 O
0.949 0.505 0.211 O
0.949 0.995 0.711 O
```

* ΔE_f (raw): -1.104 eV per atom
* crystal system: orthorhombic
* space group: Pccn, No. 56
* total magnetization: 0.00 μB per atom
* DOS(E_F): 0.0 states/eV/f.u.

***

(4)
The following is a PBE calculation of crystalline KRb2NpH6 at its relaxed geometry, from the Alexandria database.

POSCAR file:
```
KRb2NpH6
1.0
0.000 4.784 4.784
4.784 0.000 4.784
4.784 4.784 0.000
K Rb Np H
1 2 1 6
Direct
0.000 0.000 0.000 K
0.250 0.250 0.250 Rb
0.750 0.750 0.750 Rb
0.500 0.500 0.500 Np
0.268 0.268 0.732 H
0.268 0.732 0.268 H
0.268 0.732 0.732 H
0.732 0.268 0.268 H
0.732 0.268 0.732 H
0.732 0.732 0.268 H
```

* crystal system: cubic
* space group: Fm-3m, No. 225
* uncorrected energy: -3.591 eV per atom
* total magnetization: 0.40 μB per atom
* DOS(E_F): 6.5 states/eV/f.u.

***

(5)
The following is a PBE calculation of crystalline K2CdHg12 at its relaxed geometry, from the Alexandria database.

POSCAR file:
```
K2CdHg12
1.0
7.248 0.000 0.000
0.000 7.248 0.000
0.000 0.000 17.839
K Cd Hg
4 2 24
Direct
0.250 0.750 0.244 K
0.250 0.750 0.756 K
0.750 0.250 0.244 K
0.750 0.250 0.756 K
0.250 0.750 0.000 Cd
0.750 0.250 0.000 Cd
0.000 0.000 0.090 Hg
0.000 0.000 0.910 Hg
0.000 0.500 0.090 Hg
0.000 0.500 0.910 Hg
0.094 0.594 0.432 Hg
0.094 0.906 0.568 Hg
0.250 0.250 0.185 Hg
0.250 0.250 0.353 Hg
0.250 0.250 0.647 Hg
0.250 0.250 0.815 Hg
0.406 0.594 0.568 Hg
0.406 0.906 0.432 Hg
0.500 0.000 0.090 Hg
0.500 0.000 0.910 Hg
0.500 0.500 0.090 Hg
0.500 0.500 0.910 Hg
0.594 0.094 0.568 Hg
0.594 0.406 0.432 Hg
0.750 0.750 0.185 Hg
0.750 0.750 0.353 Hg
0.750 0.750 0.647 Hg
0.750 0.750 0.815 Hg
0.906 0.094 0.432 Hg
0.906 0.406 0.568 Hg
```

* crystal system: tetragonal
* space group: P4/nbm, No. 125
* total magnetization: 0.00 μB per atom
* ΔH_f (0 K): -0.11 eV/atom
* DOS(E_F): 5.4 states/eV/f.u.

***

(6)
The following is a PBE calculation of crystalline Np2AgBr8 at its relaxed geometry, from the Alexandria database.

POSCAR file:
```
Np2AgBr8
1.0
4.469 -6.223 0.000
4.469 6.223 0.000
-1.477 0.000 5.934
Np Ag Br
2 1 8
Direct
0.188 0.812 0.000 Np
0.812 0.188 0.000 Np
0.500 0.500 0.500 Ag
0.105 0.105 0.288 Br
0.158 0.424 0.889 Br
0.289 0.711 0.500 Br
0.424 0.158 0.889 Br
0.576 0.842 0.111 Br
0.711 0.289 0.500 Br
0.842 0.576 0.111 Br
0.895 0.895 0.712 Br
```

* ΔE_f (raw): -1.014 eV per atom
* crystal system: monoclinic
* space group: C2/m, No. 12
* excess energy over the best structure of this formula in the dataset: 0 meV/atom
* total magnetization: 0.64 μB per atom
* DOS(E_F): 17.2 states/eV/f.u.

***

(7)
The following is a PBE calculation of crystalline KSr2Te at its relaxed geometry, from the Alexandria database.

POSCAR file:
```
KSr2Te
1.0
3.950 -6.067 0.000
3.950 6.067 0.000
-2.373 0.000 3.743
K Sr Te
1 2 1
Direct
0.000 0.000 0.000 K
0.000 0.500 0.500 Sr
0.500 0.000 0.500 Sr
0.500 0.500 0.000 Te
```

* ΔE_f (raw): -0.374 eV per atom
* crystal system: monoclinic
* space group: C2/m, No. 12
* total magnetization: 0.00 μB per atom
* DOS(E_F): 3.5 states/eV/f.u.

***

(8)
The following is a PBE calculation of crystalline Hf6Co2Rh at its relaxed geometry, from the Alexandria database.

POSCAR file:
```
Hf6Co2Rh
1.0
5.510 0.000 0.000
0.000 6.932 0.000
-5.460 0.000 8.951
Hf Co Rh
12 4 2
Direct
0.063 0.074 0.239 Hf
0.063 0.426 0.739 Hf
0.220 0.721 0.076 Hf
0.220 0.779 0.576 Hf
0.384 0.143 0.056 Hf
0.384 0.357 0.556 Hf
0.616 0.643 0.444 Hf
0.616 0.857 0.944 Hf
0.780 0.221 0.424 Hf
0.780 0.279 0.924 Hf
0.937 0.574 0.261 Hf
0.937 0.926 0.761 Hf
0.316 0.099 0.718 Co
0.316 0.401 0.218 Co
0.684 0.599 0.782 Co
0.684 0.901 0.282 Co
0.500 0.000 0.500 Rh
0.500 0.500 0.000 Rh
```

* crystal system: monoclinic
* space group: P2_1/c, No. 14
* excess energy over the best structure of this formula in the dataset: 169 meV/atom
* total magnetization: 0.00 μB per atom
* ΔH_f (0 K): -0.23 eV/atom
* DOS(E_F): 8.7 states/eV/f.u.

***

(9)
The following is a PBE calculation of crystalline Sm2HoZn2Sn2 at its relaxed geometry, from the Alexandria database.

POSCAR file:
```
Sm2HoZn2Sn2
1.0
2.332 1.347 9.404
-2.332 1.347 9.404
0.000 -2.693 9.404
Sm Ho Zn Sn
2 1 2 2
Direct
0.129 0.129 0.129 Sm
0.871 0.871 0.871 Sm
0.000 0.000 0.000 Ho
0.415 0.415 0.415 Zn
0.585 0.585 0.585 Zn
0.270 0.270 0.270 Sn
0.730 0.730 0.730 Sn
```

* crystal system: trigonal
* space group: R-3m, No. 166
* total magnetization: 0.00 μB per atom
* ΔH_f (0 K): -0.34 eV/atom
* DOS(E_F): 6.7 states/eV/f.u.

***

(10)
The following is a PBE calculation of crystalline MnAg2Se at its relaxed geometry, from the Alexandria database.

POSCAR file:
```
MnAg2Se
1.0
-2.146 2.146 3.994
2.146 -2.146 3.994
2.146 2.146 -3.994
Mn Ag Se
1 2 1
Direct
0.000 0.000 0.000 Mn
0.500 0.500 0.000 Ag
0.750 0.250 0.500 Ag
0.250 0.750 0.500 Se
```

* ΔE_f (raw): 0.198 eV per atom
* crystal system: tetragonal
* space group: I-4m2, No. 119
* total magnetization: 1.11 μB per atom
* DOS(E_F): 2.2 states/eV/f.u.

***

(11)
The following is a PBE calculation of crystalline CdIn2Rh at its relaxed geometry, from the Alexandria database.

POSCAR file:
```
CdIn2Rh
1.0
3.017 -4.048 0.000
3.017 4.048 0.000
0.000 0.000 3.230
Cd In Rh
1 2 1
Direct
0.000 0.000 0.000 Cd
0.000 0.500 0.500 In
0.500 0.000 0.500 In
0.500 0.500 0.000 Rh
```

* crystal system: orthorhombic
* space group: Cmmm, No. 65
* total magnetization: 0.00 μB per atom
* ΔH_f (0 K): -0.02 eV/atom
* DOS(E_F): 1.5 states/eV/f.u.

***

(12)
The following is a PBE calculation of crystalline RbTaIn3 at its relaxed geometry, from the Alexandria database.

POSCAR file:
```
RbTaIn3
1.0
5.728 0.000 0.000
0.000 5.728 0.000
0.000 0.000 5.728
Rb Ta In
1 1 3
Direct
0.000 0.000 0.000 Rb
0.500 0.500 0.500 Ta
0.000 0.000 0.500 In
0.000 0.500 0.000 In
0.500 0.000 0.000 In
```

* crystal system: cubic
* space group: Pm-3m, No. 221
* excess energy over the best structure of this formula in the dataset: 1786 meV/atom
* total magnetization: 0.00 μB per atom
* ΔH_f (0 K): 2.11 eV/atom
* DOS(E_F): 7.6 states/eV/f.u.